(1)
{
  "formula": "PuBRh",
  "functional": "PBE-GGA",
  "state": "relaxed",
  "de_polymorph_mev_per_atom": 32,
  "lattice": [[3.7092, 0.0000, 0.0000], [-1.8546, 3.2122, 0.0000], [0.0000, 0.0000, 4.1660]],
  "species": ["Pu", "B", "Rh"],
  "fractional_positions": [[0.0000, 0.0000, 0.0000], [0.6667, 0.3333, 0.5000], [0.3333, 0.6667, 0.5000]]
}

***

(2)
{
  "formula": "PuBRh2",
  "functional": "PBE-GGA",
  "state": "relaxed",
  "de_polymorph_mev_per_atom": 45,
  "lattice": [[1.8704, 1.0798, 5.2310], [-1.8704, 1.0798, 5.2310], [0.0000, -2.1597, 5.2310]],
  "species": ["Pu", "B", "Rh", "Rh"],
  "fractional_positions": [[0.0000, 0.0000, 0.0000], [0.5000, 0.5000, 0.5000], [0.2152, 0.2152, 0.2152], [0.7848, 0.7848, 0.7848]]
}

***

(3)
{
  "formula": "PuB2Rh3",
  "functional": "PBE-GGA",
  "state": "relaxed",
  "final_energy_ev_per_cell": -53.172,
  "lattice": [[5.6351, 0.0000, 0.0000], [-2.8175, 4.8801, 0.0000], [0.0000, 0.0000, 2.9240]],
  "species": ["Pu", "B", "B", "Rh", "Rh", "Rh"],
  "fractional_positions": [[0.0000, 0.0000, 0.0000], [0.3333, 0.6667, 0.0000], [0.6667, 0.3333, 0.0000], [0.0000, 0.5000, 0.5000], [0.5000, 0.0000, 0.5000], [0.5000, 0.5000, 0.5000]]
}

***

(4)
{
  "formula": "PuBRh2",
  "functional": "PBE-GGA",
  "state": "relaxed",
  "de_polymorph_mev_per_atom": 0,
  "lattice": [[2.5810, -4.0464, 0.0000], [2.5810, 4.0464, 0.0000], [0.0000, 0.0000, 3.0378]],
  "species": ["Pu", "B", "Rh", "Rh"],
  "fractional_positions": [[0.0000, 0.0000, 0.0000], [0.5000, 0.5000, 0.0000], [0.3286, 0.6714, 0.5000], [0.6714, 0.3286, 0.5000]]
}

***

(5)
{
  "formula": "Pu2B4Rh5",
  "functional": "PBE-GGA",
  "state": "relaxed",
  "final_energy_ev_per_cell": -96.509,
  "lattice": [[5.0875, -2.6951, 0.0000], [5.0875, 2.6951, 0.0000], [-4.4482, 0.0000, 5.6548]],
  "species": ["Pu", "Pu", "B", "B", "B", "B", "Rh", "Rh", "Rh", "Rh", "Rh"],
  "fractional_positions": [[0.2130, 0.2130, 0.1310], [0.7870, 0.7870, 0.8690], [0.1051, 0.1051, 0.6556], [0.2725, 0.2725, 0.6537], [0.7275, 0.7275, 0.3463], [0.8949, 0.8949, 0.3444], [0.1827, 0.6727, 0.6194], [0.3273, 0.8173, 0.3806], [0.5000, 0.5000, 0.0000], [0.6727, 0.1827, 0.6194], [0.8173, 0.3273, 0.3806]]
}

***

(6)
{
  "formula": "Pu2BRh5",
  "functional": "PBE-GGA",
  "state": "relaxed",
  "final_energy_ev_per_cell": -75.646,
  "lattice": [[-2.8599, 2.8599, 4.1376], [2.8599, -2.8599, 4.1376], [2.8599, 2.8599, -4.1376]],
  "species": ["Pu", "Pu", "B", "Rh", "Rh", "Rh", "Rh", "Rh"],
  "fractional_positions": [[0.0000, 0.5000, 0.5000], [0.5000, 0.0000, 0.5000], [0.2710, 0.2710, 0.0000], [0.9996, 0.9996, 0.0000], [0.5060, 0.5060, 0.5130], [0.5060, 0.9930, 0.0000], [0.9930, 0.5060, 0.0000], [0.9930, 0.9930, 0.4870]]
}

***

(7)
{
  "formula": "PuB2Rh3",
  "functional": "PBE-GGA",
  "state": "relaxed",
  "final_energy_ev_per_cell": -104.050,
  "lattice": [[7.3541, -1.8316, 0.0000], [7.3541, 1.8316, 0.0000], [-2.9629, 0.0000, 6.1237]],
  "species": ["Pu", "Pu", "B", "B", "B", "B", "Rh", "Rh", "Rh", "Rh", "Rh", "Rh"],
  "fractional_positions": [[0.1583, 0.1583, 0.0679], [0.8417, 0.8417, 0.9321], [0.1800, 0.1800, 0.6135], [0.4844, 0.4844, 0.8529], [0.5156, 0.5156, 0.1471], [0.8200, 0.8200, 0.3865], [0.0344, 0.0344, 0.3399], [0.3224, 0.3224, 0.5863], [0.3907, 0.3907, 0.2839], [0.6093, 0.6093, 0.7161], [0.6776, 0.6776, 0.4137], [0.9656, 0.9656, 0.6601]]
}

***

(8)
{
  "formula": "Pu2B7Rh12",
  "functional": "PBE-GGA",
  "state": "relaxed",
  "final_energy_ev_per_cell": -171.250,
  "lattice": [[8.9670, 0.0000, 0.0000], [-4.4835, 7.7657, 0.0000], [0.0000, 0.0000, 3.8309]],
  "species": ["Pu", "Pu", "B", "B", "B", "B", "B", "B", "B", "Rh", "Rh", "Rh", "Rh", "Rh", "Rh", "Rh", "Rh", "Rh", "Rh", "Rh", "Rh"],
  "fractional_positions": [[0.3333, 0.6667, 0.2479], [0.6667, 0.3333, 0.7521], [0.0000, 0.0000, 0.0000], [0.1057, 0.3974, 0.7466], [0.2916, 0.8943, 0.7466], [0.3974, 0.2916, 0.2534], [0.6026, 0.7084, 0.7466], [0.7084, 0.1057, 0.2534], [0.8943, 0.6026, 0.2534], [0.0683, 0.6210, 0.7487], [0.1055, 0.8552, 0.2462], [0.1448, 0.2502, 0.2462], [0.2502, 0.1055, 0.7538], [0.3790, 0.4473, 0.7487], [0.4473, 0.0683, 0.2513], [0.5527, 0.9317, 0.7487], [0.6210, 0.5527, 0.2513], [0.7498, 0.8945, 0.2462], [0.8552, 0.7498, 0.7538], [0.8945, 0.1448, 0.7538], [0.9317, 0.3790, 0.2513]]
}

***

(9)
{
  "formula": "Pu2BSbRh6",
  "functional": "PBE-GGA",
  "state": "relaxed",
  "raw_formation_energy_ev_per_atom": -0.433,
  "lattice": [[5.7333, 0.0000, 0.0000], [0.0000, 8.5009, 0.0000], [0.0000, 0.0000, 7.3983]],
  "species": ["Pu", "Pu", "Pu", "Pu", "B", "B", "Sb", "Sb", "Rh", "Rh", "Rh", "Rh", "Rh", "Rh", "Rh", "Rh", "Rh", "Rh", "Rh", "Rh"],
  "fractional_positions": [[0.2500, 0.0189, 0.2418], [0.2500, 0.4811, 0.2418], [0.7500, 0.5189, 0.7582], [0.7500, 0.9811, 0.7582], [0.2500, 0.2500, 0.6771], [0.7500, 0.7500, 0.3229], [0.2500, 0.7500, 0.8340], [0.7500, 0.2500, 0.1660], [0.0016, 0.2500, 0.8785], [0.0105, 0.7500, 0.5147], [0.2500, 0.0080, 0.6431], [0.2500, 0.4920, 0.6431], [0.4895, 0.7500, 0.5147], [0.4984, 0.2500, 0.8785], [0.5016, 0.7500, 0.1215], [0.5105, 0.2500, 0.4853], [0.7500, 0.5080, 0.3569], [0.7500, 0.9920, 0.3569], [0.9895, 0.2500, 0.4853], [0.9984, 0.7500, 0.1215]]
}

***

(10)
{
  "formula": "Pu2ScB2Rh5",
  "functional": "PBE-GGA",
  "state": "relaxed",
  "final_energy_ev_per_cell": -182.256,
  "lattice": [[9.8620, 0.0000, 0.0000], [0.0000, 9.8620, 0.0000], [0.0000, 0.0000, 3.1520]],
  "species": ["Pu", "Pu", "Pu", "Pu", "Sc", "Sc", "B", "B", "B", "B", "Rh", "Rh", "Rh", "Rh", "Rh", "Rh", "Rh", "Rh", "Rh", "Rh"],
  "fractional_positions": [[0.1771, 0.3229, 0.0000], [0.3229, 0.8229, 0.0000], [0.6771, 0.1771, 0.0000], [0.8229, 0.6771, 0.0000], [0.0000, 0.0000, 0.0000], [0.5000, 0.5000, 0.0000], [0.1206, 0.6206, 0.0000], [0.3794, 0.1206, 0.0000], [0.6206, 0.8794, 0.0000], [0.8794, 0.3794, 0.0000], [0.0000, 0.5000, 0.5000], [0.0700, 0.7722, 0.5000], [0.2278, 0.0700, 0.5000], [0.2722, 0.5700, 0.5000], [0.4300, 0.2722, 0.5000], [0.5000, 0.0000, 0.5000], [0.5700, 0.7278, 0.5000], [0.7278, 0.4300, 0.5000], [0.7722, 0.9300, 0.5000], [0.9300, 0.2278, 0.5000]]
}

***

(11)
{
  "formula": "Pu2SnB2Rh5",
  "functional": "PBE-GGA",
  "state": "relaxed",
  "final_energy_ev_per_cell": -176.689,
  "lattice": [[9.7158, 0.0000, 0.0000], [0.0000, 9.7158, 0.0000], [0.0000, 0.0000, 3.2519]],
  "species": ["Pu", "Pu", "Pu", "Pu", "Sn", "Sn", "B", "B", "B", "B", "Rh", "Rh", "Rh", "Rh", "Rh", "Rh", "Rh", "Rh", "Rh", "Rh"],
  "fractional_positions": [[0.1762, 0.3238, 0.0000], [0.3238, 0.8238, 0.0000], [0.6762, 0.1762, 0.0000], [0.8238, 0.6762, 0.0000], [0.0000, 0.0000, 0.0000], [0.5000, 0.5000, 0.0000], [0.1206, 0.6206, 0.0000], [0.3794, 0.1206, 0.0000], [0.6206, 0.8794, 0.0000], [0.8794, 0.3794, 0.0000], [0.0000, 0.5000, 0.5000], [0.0704, 0.7729, 0.5000], [0.2271, 0.0704, 0.5000], [0.2729, 0.5704, 0.5000], [0.4296, 0.2729, 0.5000], [0.5000, 0.0000, 0.5000], [0.5704, 0.7271, 0.5000], [0.7271, 0.4296, 0.5000], [0.7729, 0.9296, 0.5000], [0.9296, 0.2271, 0.5000]]
}

***

(12)
{
  "formula": "Pu3TcB2Rh9",
  "functional": "PBE-GGA",
  "state": "relaxed",
  "final_energy_ev_per_cell": -136.474,
  "lattice": [[6.4617, 0.0000, 0.0000], [-3.2308, 5.5960, 0.0000], [0.0000, 0.0000, 6.9366]],
  "species": ["Pu", "Pu", "Pu", "Tc", "B", "B", "Rh", "Rh", "Rh", "Rh", "Rh", "Rh", "Rh", "Rh", "Rh"],
  "fractional_positions": [[0.0000, 0.0000, 0.0000], [0.3333, 0.6667, 0.6776], [0.6667, 0.3333, 0.3224], [0.0000, 0.0000, 0.5000], [0.3333, 0.6667, 0.1315], [0.6667, 0.3333, 0.8685], [0.0000, 0.5000, 0.0000], [0.1891, 0.3783, 0.3270], [0.1891, 0.8109, 0.3270], [0.3783, 0.1891, 0.6730], [0.5000, 0.0000, 0.0000], [0.5000, 0.5000, 0.0000], [0.6217, 0.8109, 0.3270], [0.8109, 0.1891, 0.6730], [0.8109, 0.6217, 0.6730]]
}

***

It is found that the density of states at the Fermi level values, taken in the order of the records, are 2.9468, 2.5011, 1.4950, 2.3160, 2.0548, 3.2421, 1.8410, 1.4146, 2.5530, 2.1237, 2.5329, 2.8984 states/eV/atom.